[1]
First-principles (PBE) data for LaPm4Rh3 after structural relaxation, as listed in the Alexandria database.

- Formation energy from the elements: -4.59 eV/f.u.
- Magnetization: 0.00 μB per formula unit

Unit cell a=13.625 b=7.148 c=10.515 alpha=90.00 beta=113.32 gamma=90.00
Space group Cc (No. 9)
Asymmetric unit:
La  0.000  0.180  0.000 (multiplicity 4)
Pm  0.102  0.337  0.686 (multiplicity 4)
Pm  0.196  0.162  0.400 (multiplicity 4)
Pm  0.295  0.335  0.111 (multiplicity 4)
Pm  0.392  0.179  0.798 (multiplicity 4)
Rh  0.095  0.500  0.432 (multiplicity 4)
Rh  0.196  0.002  0.149 (multiplicity 4)
Rh  0.301  0.496  0.366 (multiplicity 4)


[2]
First-principles (PBE) data for La3PmRh after structural relaxation, as listed in the Alexandria database.

- Energy above the most stable polymorph in this dataset: 0.35 eV per formula unit
- Formation energy from the elements: -1.34 eV/f.u.
- Magnetization: 0.00 μB per formula unit

Unit cell a=7.931 b=6.775 c=6.470 alpha=90.00 beta=90.00 gamma=90.00
Space group Pmn2_1 (No. 31)
Asymmetric unit:
La  0.000  0.148  0.000 (multiplicity 2)
La  0.249  0.681  0.003 (multiplicity 4)
Pm  0.000  0.844  0.509 (multiplicity 2)
Rh  0.000  0.497  0.251 (multiplicity 2)


[3]
First-principles (PBE) data for LaPm5Rh2 after structural relaxation, as listed in the Alexandria database.

- Formation energy from the elements: -2.70 eV/f.u.
- Magnetization: 0.00 μB per formula unit

Unit cell a=4.145 b=7.425 c=16.220 alpha=90.00 beta=90.00 gamma=90.00
Space group Immm (No. 71)
Asymmetric unit:
La  0.000  0.000  0.000 (multiplicity 2)
Pm  0.000  0.253  0.341 (multiplicity 8)
Pm  0.000  0.500  0.000 (multiplicity 2)
Rh  0.000  0.500  0.184 (multiplicity 4)


[4]
First-principles (PBE) data for La2PmSb3Rh4 after structural relaxation, as listed in the Alexandria database.

- Formation energy without anion corrections: -847.3 kJ/mol of formula units
- Magnetization: 0.00 μB per formula unit

Unit cell a=4.493 b=4.493 c=11.368 alpha=90.00 beta=90.00 gamma=90.00
Space group P-4m2 (No. 115)
Asymmetric unit:
La  0.000  0.500  0.226 (multiplicity 2)
Pm  0.000  0.000  0.500 (multiplicity 1)
Sb  0.000  0.500  0.874 (multiplicity 2)
Sb  0.500  0.500  0.500 (multiplicity 1)
Rh  0.000  0.000  0.000 (multiplicity 1)
Rh  0.000  0.500  0.647 (multiplicity 2)
Rh  0.500  0.500  0.000 (multiplicity 1)


[5]
First-principles (PBE) data for LaPmSiRh after structural relaxation, as listed in the Alexandria database.

- Energy above the most stable polymorph in this dataset: 0.93 eV per formula unit
- Formation energy without anion corrections: -205.0 kJ/mol of formula units
- Magnetization: 0.00 μB per formula unit

Unit cell a=7.240 b=7.240 c=7.240 alpha=90.00 beta=90.00 gamma=90.00
Space group F-43m (No. 216)
Asymmetric unit:
La  0.000  0.000  0.000 (multiplicity 4)
Pm  0.000  0.000  0.500 (multiplicity 4)
Si  0.250  0.250  0.750 (multiplicity 4)
Rh  0.250  0.250  0.250 (multiplicity 4)


[6]
First-principles (PBE) data for LaPmSiRh after structural relaxation, as listed in the Alexandria database.

- Energy above the most stable polymorph in this dataset: 0.00 eV per formula unit
- Formation energy without anion corrections: -295.1 kJ/mol of formula units
- Magnetization: 0.00 μB per formula unit

Unit cell a=4.291 b=4.435 c=10.216 alpha=90.00 beta=90.00 gamma=90.00
Space group Amm2 (No. 38)
Asymmetric unit:
La  0.000  0.000  0.000 (multiplicity 2)
Pm  0.500  0.000  0.288 (multiplicity 2)
Si  0.500  0.000  0.590 (multiplicity 2)
Rh  0.000  0.000  0.721 (multiplicity 2)